No. 1
Compound: TaNi4Pt2
Source: Alexandria
Functional: PBE-GGA
Structure: relaxed

abc: 5.6623 5.6623 5.6623
angles: 131.15 131.15 71.57
Last column: nearest neighbours and their distance in Å.
Sites, in units of the cell vectors:
1 Ta 0.0000 0.0000 0.0000  4 Ni 2.34
2 Ni 0.0000 0.5000 0.5000  2 Ni 2.30, 2 Ta 2.34
3 Ni 0.2500 0.7500 0.5000  2 Ni 2.30, 4 Pt 2.52
4 Ni 0.5000 0.0000 0.5000  2 Ni 2.30, 2 Ta 2.34
5 Ni 0.7500 0.2500 0.5000  2 Ni 2.30, 4 Pt 2.52
6 Pt 0.3529 0.3529 0.0000  8 Ni 2.52-2.70, 1 Pt 2.70
7 Pt 0.6471 0.6471 0.0000  8 Ni 2.52-2.70, 1 Pt 2.70

## Properties
Energy of formation from the pure elements   0.330 eV/atom



No. 2
Compound: TaNi2Pt
Source: Alexandria
Functional: PBE-GGA
Structure: relaxed

abc: 4.6354 4.6354 4.6354
angles: 131.48 131.48 71.06
Last column: nearest neighbours and their distance in Å.
Sites, in units of the cell vectors:
1 Ta 0.0000 0.0000 0.0000  8 Ni 2.68, 4 Pt 2.69
2 Ni 0.2500 0.7500 0.5000  4 Pt 2.68, 4 Ta 2.68, 4 Ni 2.69
3 Ni 0.7500 0.2500 0.5000  4 Pt 2.68, 4 Ta 2.68, 4 Ni 2.69
4 Pt 0.5000 0.5000 0.0000  8 Ni 2.68, 4 Ta 2.69

## Properties
Energy of formation from the pure elements   -0.487 eV/atom



No. 3
Compound: TaNi3Pt
Source: Alexandria
Functional: PBE-GGA
Structure: relaxed

abc: 6.2500 6.2500 5.2719
angles: 90.00 90.00 139.46
Last column: nearest neighbours and their distance in Å.
Sites, in units of the cell vectors:
1 Ta 0.1098 0.8902 0.7500  8 Ni 2.53-2.72, 3 Pt 2.64-2.73
2 Ta 0.8902 0.1098 0.2500  8 Ni 2.53-2.72, 3 Pt 2.64-2.73
3 Ni 0.3136 0.6864 0.5053  6 Ni 2.52-2.69, 3 Pt 2.61-2.63, 3 Ta 2.70-2.72
4 Ni 0.3136 0.6864 0.9947  6 Ni 2.52-2.69, 3 Pt 2.61-2.63, 3 Ta 2.70-2.72
5 Ni 0.4982 0.5018 0.7500  6 Ni 2.52-2.64, 2 Ta 2.53, 2 Pt 2.59
6 Ni 0.5018 0.4982 0.2500  6 Ni 2.52-2.64, 2 Ta 2.53, 2 Pt 2.59
7 Ni 0.6864 0.3136 0.0053  6 Ni 2.52-2.69, 3 Pt 2.61-2.63, 3 Ta 2.70-2.72
8 Ni 0.6864 0.3136 0.4947  6 Ni 2.52-2.69, 3 Pt 2.61-2.63, 3 Ta 2.70-2.72
9 Pt 0.1234 0.8766 0.2500  8 Ni 2.59-2.63, 3 Ta 2.64-2.73
10 Pt 0.8766 0.1234 0.7500  8 Ni 2.59-2.63, 3 Ta 2.64-2.73

## Properties
Energy of formation from the pure elements   -0.275 eV/atom



No. 4
Compound: TaNi2Pt
Source: Alexandria
Functional: PBE-GGA
Structure: relaxed

abc: 5.4531 5.4531 5.4531
angles: 103.26 103.26 122.78
Last column: nearest neighbours and their distance in Å.
Sites, in units of the cell vectors:
1 Ta 0.0000 0.0000 0.0000  4 Ni 2.45, 2 Pt 2.61
2 Ta 0.7500 0.2500 0.5000  4 Ni 2.45, 2 Pt 2.61
3 Ni 0.1185 0.1250 0.4935  2 Ta 2.45, 2 Pt 2.51, 2 Ni 2.61
4 Ni 0.3750 0.8815 0.0065  2 Ta 2.45, 2 Pt 2.51, 2 Ni 2.61
5 Ni 0.6315 0.6250 0.5065  2 Ta 2.45, 2 Pt 2.51, 2 Ni 2.61
6 Ni 0.8750 0.3685 0.9935  2 Ta 2.45, 2 Pt 2.51, 2 Ni 2.61
7 Pt 0.2500 0.7500 0.5000  4 Ni 2.51, 2 Ta 2.61
8 Pt 0.5000 0.5000 0.0000  4 Ni 2.51, 2 Ta 2.61

## Properties
Energy of formation from the pure elements   0.101 eV/atom



What is the energy of formation from the pure elements in the second record?
-0.487 eV/atom



Look up the energy of formation from the pure elements of the third one.
-0.275 eV/atom